A plane-wave DFT calculation with GGA-PBE was carried out for InSnRh2 after structural relaxation.

Cell lengths 3.500, 4.431, 4.431 Å; angles 90.00, 90.00, 90.00 degrees
Fractional coordinates of all 4 atoms:
Rh 0.000 0.000 0.500
Rh 0.000 0.500 0.000
Sn 0.500 0.500 0.500
In 0.500 0.000 0.000

N(E_F) ... 1.70 states/eV/cell
Total DFT energy (no corrections) ... -5.748 eV/atom
DFT formation energy ... -0.387 eV per atom